Below is crystalline CaTa2Co at its relaxed geometry, with properties calculated at the PBE-GGA level.

Cell lengths 3.9041, 3.9041, 4.8941 Å; angles 90.00, 90.00, 90.00 degrees
Last column: nearest neighbours and their distance in Å.
Space group P4/mmm (No. 123)
Symmetry-distinct sites (fractional):
1 Ca 0.0000 0.0000 0.0000  4 Co 2.76
2 Ta 0.0000 0.5000 0.5000  4 Ta 2.76
3 Co 0.5000 0.5000 0.0000  4 Ca 2.76

Output
The offset from the most stable computed form comes out at 495 meV per atom. Its energy of formation from the pure elements is 0.712 eV/atom. The value obtained for the uncorrected energy is -7.491 eV per atom. Its density is 10.3 g/cm³. The density of states at the Fermi level is 1.4011 states/eV per atom.